Record 1
{"formula": "Dy2YFe3Ni6", "functional": "GGA-PBE", "state": "optimized geometry", "lattice": [[1.4978, 2.1294, 8.1119], [5.6895, -0.0385, 6.3411], [4.6955, 4.7830, 5.2590]], "species": ["Dy", "Dy", "Fe", "Fe", "Fe", "Ni", "Ni", "Ni", "Ni", "Ni", "Ni", "Y"], "fractional_positions": [[0.1391, 0.1391, 0.1391], [0.8609, 0.8609, 0.8609], [0.3332, 0.3332, 0.3332], [0.5000, 0.5000, 0.5000], [0.6668, 0.6668, 0.6668], [0.5825, 0.5825, 0.0825], [0.4175, 0.9175, 0.4175], [0.9175, 0.4175, 0.4175], [0.0825, 0.5825, 0.5825], [0.5825, 0.0825, 0.5825], [0.4175, 0.4175, 0.9175], [0.0000, 0.0000, 0.0000]], "total_magnetization_mub_per_fu": 8.68, "e_tot_ev_per_atom": -6.4520, "ef_mev_per_atom": -285}

***

Record 2
{"formula": "LaYCd", "functional": "GGA-PBE", "state": "optimized geometry", "lattice": [[-3.0283, -2.5633, -7.2372], [1.4537, -5.4476, 6.0273], [-4.3788, 0.6170, 1.6138]], "species": ["Cd", "Cd", "Cd", "La", "La", "La", "Y", "Y", "Y"], "fractional_positions": [[0.6667, 0.3333, 0.0000], [0.3333, 0.6667, 0.0000], [0.0000, 0.0000, 0.5000], [0.6096, 0.0000, 0.5000], [0.3904, 0.3904, 0.5000], [0.0000, 0.6096, 0.5000], [0.2664, 0.0000, 0.0000], [0.0000, 0.2664, 0.0000], [0.7336, 0.7336, 0.0000]], "total_magnetization_mub_per_fu": 0.52, "e_tot_ev_per_atom": -4.2353, "e_above_lowest_polymorph_ev_per_fu": 0.00, "ef_mev_per_atom": -141}

***

Record 3
{"formula": "KRbZrS3", "functional": "GGA-PBE", "state": "optimized geometry", "lattice": [[14.8461, 0.0000, 0.0000], [0.0000, 3.7525, 0.0000], [0.0000, 0.0000, 12.7126]], "species": ["K", "K", "K", "K", "Rb", "Rb", "Rb", "Rb", "S", "S", "S", "S", "S", "S", "S", "S", "S", "S", "S", "S", "Zr", "Zr", "Zr", "Zr"], "fractional_positions": [[0.2337, 0.2500, 0.1007], [0.7337, 0.2500, 0.3993], [0.2663, 0.7500, 0.6007], [0.7663, 0.7500, 0.8993], [0.5809, 0.2500, 0.1154], [0.0809, 0.2500, 0.3846], [0.9191, 0.7500, 0.6154], [0.4191, 0.7500, 0.8846], [0.7993, 0.2500, 0.1158], [0.0272, 0.2500, 0.1403], [0.4006, 0.7500, 0.1422], [0.9006, 0.7500, 0.3578], [0.5272, 0.2500, 0.3597], [0.2993, 0.2500, 0.3842], [0.7007, 0.7500, 0.6158], [0.4728, 0.7500, 0.6403], [0.0994, 0.2500, 0.6422], [0.5994, 0.2500, 0.8578], [0.9728, 0.7500, 0.8597], [0.2007, 0.7500, 0.8842], [0.9122, 0.7500, 0.1705], [0.4122, 0.7500, 0.3295], [0.5878, 0.2500, 0.6705], [0.0878, 0.2500, 0.8295]], "total_magnetization_mub_per_fu": 0.00, "e_tot_ev_per_atom": -5.2064, "e_above_lowest_polymorph_ev_per_fu": 0.43}

***

Record 4
{"formula": "HoTm3Sc2Bi2Os", "functional": "GGA-PBE", "state": "optimized geometry", "lattice": [[4.1984, 0.0000, 0.0000], [0.0000, 6.9601, 4.0238], [0.0000, -6.9601, 4.0238]], "species": ["Bi", "Bi", "Ho", "Os", "Sc", "Sc", "Tm", "Tm", "Tm"], "fractional_positions": [[0.0000, 0.6656, 0.3276], [0.0000, 0.3276, 0.6656], [0.0000, 0.7683, 0.7683], [0.5000, 0.0110, 0.0110], [0.0000, 0.2281, 0.0007], [0.0000, 0.0007, 0.2281], [0.5000, 0.6180, 0.0031], [0.5000, 0.3776, 0.3776], [0.5000, 0.0031, 0.6180]], "total_magnetization_mub_per_fu": 0.03, "e_tot_ev_per_atom": -6.1203}

***

Record 5
{"formula": "Li2AlW", "functional": "GGA-PBE", "state": "optimized geometry", "lattice": [[3.4827, -2.6211, 0.1099], [-0.5300, -4.3269, 0.0939], [1.0339, -2.3993, -3.4908]], "species": ["Al", "Li", "Li", "W"], "fractional_positions": [[0.5000, 0.5000, 0.5000], [0.0000, 0.0000, 0.0000], [0.7500, 0.7500, 0.7500], [0.2500, 0.2500, 0.2500]], "total_magnetization_mub_per_fu": 1.10, "e_tot_ev_per_atom": -4.6461}